Record 1
Material: K2BeMo
Method: DFT, GGA-PBE
State: optimized geometry

* crystal system: tetragonal
* total moment: 0.63 Bohr magnetons per cell
* E_form: 1472 meV per atom
* E: -2.7156 eV per atom

Cell: 2.8227 2.8227 11.7349 Å, 90.00 90.00 90.00°
Closest atoms and distances in Å follow each position.
Space group P4/mmm (No. 123)
One atom of each set of equivalent atoms:
K1 0.0000 0.0000 0.2429 [2 per cell]  4 K 2.82
Be1 0.5000 0.5000 0.0000 [1 per cell]  4 Be 2.82
Mo1 0.5000 0.5000 0.5000 [1 per cell]  4 Mo 2.82



Record 2
Material: HgSBr2N
Method: DFT, GGA-PBE
State: optimized geometry

* crystal system: tetragonal
* total moment: 4.64 Bohr magnetons per cell
* ΔE_f (raw): 6.71 eV/f.u.
* E: -1.8785 eV per atom

Cell: 5.6119 5.6119 5.0801 Å, 90.00 90.00 90.00°
Closest atoms and distances in Å follow each position.
Space group P4/mmm (No. 123)
One atom of each set of equivalent atoms:
Hg1 0.0000 0.0000 0.0000 [1 per cell]  2 S 2.54, 4 Br 2.81
S1 0.0000 0.0000 0.5000 [1 per cell]  2 Hg 2.54
Br1 0.0000 0.5000 0.0000 [2 per cell]  2 Hg 2.81
N1 0.5000 0.5000 0.5000 [1 per cell]  8 Br 3.78, 4 S 3.97



Record 3
Material: PrHo2Tm
Method: DFT, GGA-PBE
State: optimized geometry

* crystal system: orthorhombic
* total moment: 0.00 Bohr magnetons per cell
* E_form: 16 meV per atom
* E: -4.5855 eV per atom
* offset from the most stable computed form: 0 meV per atom

Cell: 3.6454 11.3712 6.2514 Å, 90.00 90.00 90.00°
Closest atoms and distances in Å follow each position.
Space group Imm2 (No. 44)
One atom of each set of equivalent atoms:
Pr1 0.0000 0.0000 0.0000 [2 per cell]  6 Ho 3.52-3.55, 4 Tm 3.59-3.64, 2 Pr 3.65
Ho1 0.0000 0.2467 0.6606 [4 per cell]  3 Tm 3.50-3.56, 3 Pr 3.52-3.55, 6 Ho 3.62-3.65
Tm1 0.0000 0.5000 0.9953 [2 per cell]  6 Ho 3.50-3.56, 4 Pr 3.59-3.64, 2 Tm 3.65



Record 4
Material: YMgRh2
Method: DFT, GGA-PBE
State: optimized geometry

* crystal system: orthorhombic
* total moment: 0.00 Bohr magnetons per cell
* E_form: -379 meV per atom
* E: -6.0691 eV per atom

Cell: 3.1322 4.2283 5.5762 Å, 90.00 90.00 90.00°
Closest atoms and distances in Å follow each position.
Space group Pmm2 (No. 25)
One atom of each set of equivalent atoms:
Y1 0.0000 0.0000 0.0000 [1 per cell]  6 Rh 2.76-2.84
Mg1 0.5000 0.5000 0.3436 [1 per cell]  5 Rh 2.60-2.78
Rh1 0.0000 0.0000 0.5044 [1 per cell]  2 Y 2.76-2.81, 4 Mg 2.78
Rh2 0.5000 0.5000 0.8095 [1 per cell]  1 Mg 2.60, 4 Y 2.84



Record 5
Material: YInTe2I
Method: DFT, GGA-PBE
State: optimized geometry

* crystal system: tetragonal
* total moment: 0.00 Bohr magnetons per cell
* ΔE_f (raw): -3.02 eV/f.u.
* E: -4.0114 eV per atom
* offset from the most stable computed form: 0 meV per atom

Cell: 5.8864 5.8864 6.1008 Å, 90.00 90.00 90.00°
Closest atoms and distances in Å follow each position.
Space group P4/mmm (No. 123)
One atom of each set of equivalent atoms:
Y1 0.0000 0.0000 0.0000 [1 per cell]  4 Te 2.94, 2 I 3.05
In1 0.5000 0.5000 0.5000 [1 per cell]  4 I 4.16, 8 Te 4.24
Te1 0.0000 0.5000 0.0000 [2 per cell]  2 Y 2.94
I1 0.0000 0.0000 0.5000 [1 per cell]  2 Y 3.05



Record 6
Material: CeCo5Si3
Method: DFT, GGA-PBE
State: optimized geometry

* crystal system: orthorhombic
* total moment: 4.44 Bohr magnetons per cell
* ΔE_f (raw): -4.96 eV/f.u.
* E: -6.9660 eV per atom

Cell: 3.7067 11.6620 11.3191 Å, 90.00 90.00 90.00°
Closest atoms and distances in Å follow each position.
Space group Cmcm (No. 63)
One atom of each set of equivalent atoms:
Ce1 0.0000 0.1720 0.2500 [4 per cell]  7 Si 3.08-3.25, 8 Co 3.19-3.39
Co1 0.0000 0.0000 0.0000 [4 per cell]  4 Si 2.36, 6 Co 2.38-2.55
Co2 0.0000 0.1940 0.5666 [8 per cell]  4 Si 2.20-2.38, 1 Co 2.38
Co3 0.0000 0.4505 0.1458 [8 per cell]  4 Si 2.25-2.30, 1 Co 2.36
Si1 0.0000 0.1065 0.7500 [4 per cell]  6 Co 2.30-2.31
Si2 0.0000 0.3812 0.5398 [8 per cell]  7 Co 2.20-2.38



| no. | DOS at the Fermi energy (states/eV/cell) |
| --- | --- |
| 1 | 4.27 |
| 2 | 4.20 |
| 3 | 13.12 |
| 4 | 4.13 |
| 5 | 6.15 |
| 6 | 39.99 |